# 1
Th2UAs2N2 after structural relaxation, computed with PBE-GGA.

Values from the calculation:
- Total magnetization: 1.7 Bohr magnetons per cell
- E_tot: -8.63 eV per atom

```
Th2UAs2N2
1.0
-2.1525 2.1525 7.8378
2.1525 -2.1525 7.8378
2.1525 2.1525 -7.8378
Th U As N
2 1 2 2
direct
0.1308 0.1308 0.0000 Th
0.8692 0.8692 0.0000 Th
0.5000 0.5000 0.0000 U
0.3195 0.3195 0.0000 As
0.6805 0.6805 0.0000 As
0.0000 0.5000 0.5000 N
0.5000 0.0000 0.5000 N
```

# 2
YCdIr2 after structural relaxation, computed with PBE-GGA.

Values from the calculation:
- Formation energy from the elements: -0.1921 eV per atom
- Total magnetization: 0.0 Bohr magnetons per cell

```
YCdIr2
1.0
-2.0355 2.0355 4.4606
2.0355 -2.0355 4.4606
2.0355 2.0355 -4.4606
Y Cd Ir
1 1 2
direct
0.0000 0.0000 0.0000 Y
0.2500 0.7500 0.5000 Cd
0.5000 0.5000 0.0000 Ir
0.7500 0.2500 0.5000 Ir
```

# 3
YScHg2 after structural relaxation, computed with PBE-GGA.

Values from the calculation:
- Energy relative to the lowest polymorph listed for this composition: 0.0 meV/atom
- Formation energy from the elements: -0.4657 eV per atom
- Total magnetization: 0.2 Bohr magnetons per cell

```
YScHg2
1.0
3.6090 0.0000 0.0000
0.0000 3.6090 0.0000
0.0000 0.0000 7.3055
Y Sc Hg
1 1 2
direct
0.0000 0.0000 0.0000 Y
0.0000 0.0000 0.5000 Sc
0.5000 0.5000 0.2713 Hg
0.5000 0.5000 0.7287 Hg
```

# 4
Zn2MoAs2 after structural relaxation, computed with PBE-GGA.

Values from the calculation:
- Formation energy from the elements: 0.1573 eV per atom
- Total magnetization: 0.0 Bohr magnetons per cell

```
Zn2MoAs2
1.0
6.5911 0.0000 0.0000
0.0000 6.5911 0.0000
0.0000 0.0000 3.8719
Zn Mo As
4 2 4
direct
0.1722 0.3278 0.0000 Zn
0.3278 0.8278 0.0000 Zn
0.6722 0.1722 0.0000 Zn
0.8278 0.6722 0.0000 Zn
0.0000 0.0000 0.5000 Mo
0.5000 0.5000 0.5000 Mo
0.1397 0.6397 0.5000 As
0.3603 0.1397 0.5000 As
0.6397 0.8603 0.5000 As
0.8603 0.3603 0.5000 As
```

# 5
Ta2SiCl after structural relaxation, computed with PBE-GGA.

Values from the calculation:
- Energy relative to the lowest polymorph listed for this composition: 571.7 meV/atom
- Total magnetization: 0.0 Bohr magnetons per cell

```
Ta2SiCl
1.0
-1.9838 1.9838 4.2867
1.9838 -1.9838 4.2867
1.9838 1.9838 -4.2867
Ta Si Cl
2 1 1
direct
0.0000 0.0000 0.0000 Ta
0.7500 0.2500 0.5000 Ta
0.5000 0.5000 0.0000 Si
0.2500 0.7500 0.5000 Cl
```

# 6
VAg2Te2 after structural relaxation, computed with PBE-GGA.

Values from the calculation:
- Total magnetization: 5.8 Bohr magnetons per cell
- E_tot: -4.02 eV per atom

```
VAg2Te2
1.0
7.5871 0.0000 0.0000
0.0000 7.5871 0.0000
0.0000 0.0000 4.1651
V Ag Te
2 4 4
direct
0.0000 0.0000 0.0000 V
0.5000 0.5000 0.0000 V
0.1326 0.3674 0.5000 Ag
0.3674 0.8674 0.5000 Ag
0.6326 0.1326 0.5000 Ag
0.8674 0.6326 0.5000 Ag
0.1786 0.6786 0.0000 Te
0.3214 0.1786 0.0000 Te
0.6786 0.8214 0.0000 Te
0.8214 0.3214 0.0000 Te
```

# 7
Co2AgPb after structural relaxation, computed with PBE-GGA.

Values from the calculation:
- Formation energy from the elements: 0.5819 eV per atom
- Total magnetization: 2.6 Bohr magnetons per cell

```
Co2AgPb
1.0
3.2507 0.0000 0.0000
0.0000 3.3066 0.0000
0.0000 0.0000 5.9727
Co Ag Pb
2 1 1
direct
0.0000 0.0000 0.2356 Co
0.0000 0.0000 0.7644 Co
0.5000 0.5000 0.0000 Ag
0.5000 0.5000 0.5000 Pb
```

# 8
ThTl3Br8 after structural relaxation, computed with PBE-GGA.

Values from the calculation:
- Total magnetization: 0.0 Bohr magnetons per cell
- E_tot: -3.43 eV per atom

```
ThTl3Br8
1.0
-3.8094 3.8094 7.7484
3.8094 -3.8094 7.7484
3.8094 3.8094 -7.7484
Th Tl Br
1 3 8
direct
0.0000 0.0000 0.0000 Th
0.2500 0.7500 0.5000 Tl
0.5000 0.5000 0.0000 Tl
0.7500 0.2500 0.5000 Tl
0.0509 0.6768 0.0000 Br
0.1676 0.1676 0.5172 Br
0.3232 0.3232 0.3742 Br
0.3496 0.8324 0.0000 Br
0.6504 0.6504 0.4828 Br
0.6768 0.0509 0.0000 Br
0.8324 0.3496 0.0000 Br
0.9491 0.9491 0.6258 Br
```

Which value of total magnetization does entry 7 give?
2.6 Bohr magnetons per cell